No. 1
This record from the Alexandria database describes a geometry-optimized Li2Pm3Ag2Pb4 structure. The functional is PBE.

The raw total energy is -0.281 Ry/atom. For the density, the calculation gives 8.3 g/cm³. The density of states at the Fermi level comes out at 10.87 states/eV per cell.

The structure belongs to space group P-3m1 (No. 164); the cell edges are 4.8559, 4.8559 and 14.7119 Å and the angles 90.00°, 90.00° and 120.00°. Symmetry generates all atoms from Li at (0.3333, 0.6667, 0.0680), Pm at (0.0000, 0.0000, 0.2322), Pm at (0.0000, 0.0000, 0.5000), Ag at (0.3333, 0.6667, 0.6601), Pb at (0.3333, 0.6667, 0.3812) and Pb at (0.3333, 0.6667, 0.8730).

=====

No. 2
This record from the Alexandria database describes a geometry-optimized La3Nd3In structure. The functional is PBE.

For the density, the calculation gives 6.6 g/cm³. The density of states at the Fermi level comes out at 43.22 states/eV per cell. The value obtained for the relative energy among the computed polymorphs is 0.1189 eV/atom.

The structure belongs to space group R-3 (No. 148, hexagonal axes); the cell edges are 8.6967, 8.6967 and 22.2959 Å and the angles 90.00°, 90.00° and 120.00°. Symmetry generates all atoms from La at (0.0324, 0.5939, 0.3854), Nd at (0.0129, 0.7602, 0.5557) and In at (0.0000, 0.0000, 0.1627).